Record 1
An optimized crystal structure of ZrBRu3, computed with PBE-GGA.

a = 11.916 Å, b = 6.483 Å, c = 6.483 Å
α = 154.12°, β = 134.92°, γ = 45.08°
Fractional coordinates of all 10 atoms:
1 Ru 0.667 0.359 0.641
2 Ru 0.333 0.641 0.359
3 Ru 0.069 0.281 0.719
4 Ru 0.931 0.719 0.281
5 Ru 0.540 0.645 0.355
6 Ru 0.460 0.355 0.645
7 B 0.690 0.960 0.040
8 B 0.310 0.040 0.960
9 Zr 0.827 0.045 0.955
10 Zr 0.173 0.955 0.045

Properties
space group = C2/m (12)
density of states at the Fermi level = 0.82 states/eV/atom
density = 8.93 g cm⁻³
ΔE_f = 87 meV/atom
size of the total moment = 0.00 μB/f.u.

---

Record 2
An optimized crystal structure of K4NaCl5, computed with PBE-GGA.

a = 7.647 Å, b = 7.647 Å, c = 10.816 Å
α = 61.89°, β = 61.89°, γ = 33.50°
Fractional coordinates of all 10 atoms:
1 K 0.603 0.603 0.601
2 K 0.197 0.197 0.194
3 K 0.803 0.803 0.806
4 K 0.397 0.397 0.399
5 Na 0.000 0.000 0.000
6 Cl 0.000 0.000 0.500
7 Cl 0.590 0.590 0.091
8 Cl 0.195 0.195 0.715
9 Cl 0.805 0.805 0.285
10 Cl 0.410 0.410 0.909

Properties
energy relative to the elements, uncorrected = -1.913 eV/atom
space group = C2/m (12)
density of states at the Fermi level = 0.00 states/eV/atom
density = 1.95 g cm⁻³
energy above the lowest structure with this stoichiometry = 0.08 kcal/mol of atoms
size of the total moment = 0.00 μB/f.u.

---

Record 3
An optimized crystal structure of La3TlH, computed with PBE-GGA.

a = 5.114 Å, b = 5.114 Å, c = 5.114 Å
α = 90.00°, β = 90.00°, γ = 90.00°
Each line ends with the local moment (μB).
Fractional coordinates of all 5 atoms:
1 H 0.000 0.000 0.000  0.00
2 Tl 0.500 0.500 0.500  0.01
3 La 0.000 0.500 0.000  0.08
4 La 0.000 0.000 0.500  0.06
5 La 0.500 0.000 0.000  0.10

Properties
space group = Pm-3m (221)
density of states at the Fermi level = 1.67 states/eV/atom
density = 7.72 g cm⁻³
energy above the lowest structure with this stoichiometry = 0.00 kcal/mol of atoms
size of the total moment = 0.55 μB/f.u.

---

Record 4
An optimized crystal structure of Dy2MgAg, computed with PBE-GGA.

a = 3.726 Å, b = 3.726 Å, c = 7.304 Å
α = 90.00°, β = 90.00°, γ = 90.00°
Fractional coordinates of all 4 atoms:
1 Mg 0.500 0.500 0.500
2 Ag 0.500 0.500 0.000
3 Dy 0.000 0.000 0.759
4 Dy 0.000 0.000 0.241

Properties
space group = P4/mmm (123)
density of states at the Fermi level = 1.00 states/eV/atom
density = 7.49 g cm⁻³
energy above the lowest structure with this stoichiometry = 0.00 kcal/mol of atoms
ΔE_f = -188 meV/atom
size of the total moment = 0.00 μB/f.u.

---

Record 5
An optimized crystal structure of La5InHg, computed with PBE-GGA.

a = 6.149 Å, b = 6.149 Å, c = 12.586 Å
α = 80.20°, β = 80.20°, γ = 88.50°
Fractional coordinates of all 14 atoms:
1 La 0.928 0.524 0.142
2 La 0.230 0.501 0.558
3 La 0.524 0.928 0.642
4 La 0.008 0.992 0.250
5 La 0.499 0.770 0.942
6 La 0.501 0.230 0.058
7 La 0.992 0.008 0.750
8 La 0.476 0.072 0.358
9 La 0.770 0.499 0.442
10 La 0.072 0.476 0.858
11 In 0.396 0.604 0.250
12 In 0.604 0.396 0.750
13 Hg 0.000 0.000 0.000
14 Hg 0.000 0.000 0.500

Properties
space group = C2/c (15)
density of states at the Fermi level = 1.28 states/eV/atom
density = 7.26 g cm⁻³
ΔE_f = -194 meV/atom
size of the total moment = 0.00 μB/f.u.

---

Record 6
An optimized crystal structure of Zn2PtAu, computed with PBE-GGA.

a = 2.929 Å, b = 2.929 Å, c = 7.209 Å
α = 90.00°, β = 90.00°, γ = 90.00°
Fractional coordinates of all 4 atoms:
1 Zn 0.000 0.000 0.986
2 Zn 0.000 0.000 0.514
3 Au 0.500 0.500 0.250
4 Pt 0.500 0.500 0.750

Properties
space group = P4/mmm (123)
density of states at the Fermi level = 0.24 states/eV/atom
density = 14.04 g cm⁻³
ΔE_f = -378 meV/atom
size of the total moment = 0.00 μB/f.u.

---

Record 7
An optimized crystal structure of TiV2Os, computed with PBE-GGA.

a = 4.305 Å, b = 4.305 Å, c = 4.306 Å
α = 90.05°, β = 119.97°, γ = 119.96°
Fractional coordinates of all 4 atoms:
1 Ti 0.125 0.312 0.437
2 V 0.125 0.813 0.938
3 V 0.625 0.063 0.688
4 Os 0.625 0.562 0.187

Properties
space group = F-43m (216)
density of states at the Fermi level = 1.19 states/eV/atom
density = 10.00 g cm⁻³
ΔE_f = -340 meV/atom
size of the total moment = 0.00 μB/f.u.

---

Record 8
An optimized crystal structure of MnSb3Pb, computed with PBE-GGA.

a = 5.061 Å, b = 5.061 Å, c = 5.061 Å
α = 90.00°, β = 90.00°, γ = 90.00°
Fractional coordinates of all 5 atoms:
1 Pb 0.500 0.500 0.500
2 Sb 0.000 0.500 0.000
3 Sb 0.000 0.000 0.500
4 Sb 0.500 0.000 0.000
5 Mn 0.000 0.000 0.000

Properties
energy relative to the elements, uncorrected = 0.381 eV/atom
space group = Pm-3m (221)
density of states at the Fermi level = 1.19 states/eV/atom
density = 8.04 g cm⁻³
energy above the lowest structure with this stoichiometry = 0.00 kcal/mol of atoms
size of the total moment = 0.01 μB/f.u.

---

Record 9
An optimized crystal structure of Sc2TiSe, computed with PBE-GGA.

a = 7.931 Å, b = 7.931 Å, c = 6.244 Å
α = 50.58°, β = 50.58°, γ = 90.00°
Each line ends with the local moment (μB).
Fractional coordinates of all 8 atoms:
1 Sc 0.678 0.125 0.250  -0.09
2 Sc 0.072 0.625 0.250  -0.09
3 Sc 0.375 0.322 0.750  -0.09
4 Sc 0.875 0.928 0.750  -0.09
5 Se 0.000 0.000 0.000  -0.01
6 Se 0.750 0.250 0.500  -0.01
7 Ti 0.500 0.500 0.000  0.54
8 Ti 0.250 0.750 0.500  0.55

Properties
energy relative to the elements, uncorrected = -0.235 eV/atom
space group = I-42d (122)
density of states at the Fermi level = 0.99 states/eV/atom
density = 4.17 g cm⁻³
size of the total moment = 0.41 μB/f.u.

---

Record 10
An optimized crystal structure of Cs3Tl13, computed with PBE-GGA.

a = 8.482 Å, b = 8.482 Å, c = 8.784 Å
α = 90.00°, β = 90.00°, γ = 99.22°
Fractional coordinates of all 16 atoms:
1 Cs 0.020 0.980 0.267
2 Cs 0.707 0.293 0.000
3 Cs 0.020 0.980 0.733
4 Tl 0.525 0.961 0.297
5 Tl 0.459 0.541 0.237
6 Tl 0.039 0.475 0.297
7 Tl 0.668 0.779 0.000
8 Tl 0.221 0.332 0.000
9 Tl 0.250 0.750 0.000
10 Tl 0.525 0.961 0.703
11 Tl 0.459 0.541 0.763
12 Tl 0.039 0.475 0.703
13 Tl 0.730 0.270 0.500
14 Tl 0.716 0.662 0.500
15 Tl 0.338 0.284 0.500
16 Tl 0.285 0.715 0.500

Properties
space group = Amm2 (38)
density of states at the Fermi level = 0.55 states/eV/atom
density = 8.13 g cm⁻³
ΔE_f = -24 meV/atom
size of the total moment = 0.00 μB/f.u.

---

Record 11
An optimized crystal structure of Th2HgRuPb, computed with PBE-GGA.

a = 3.995 Å, b = 8.674 Å, c = 8.803 Å
α = 115.88°, β = 90.00°, γ = 90.00°
Fractional coordinates of all 10 atoms:
1 Th 0.750 0.880 0.669
2 Th 0.750 0.717 0.994
3 Th 0.250 0.120 0.331
4 Th 0.250 0.283 0.006
5 Hg 0.250 0.536 0.645
6 Hg 0.750 0.464 0.355
7 Ru 0.250 0.875 0.889
8 Ru 0.750 0.125 0.111
9 Pb 0.250 0.726 0.310
10 Pb 0.750 0.274 0.690

Properties
space group = P2_1/m (11)
density of states at the Fermi level = 0.71 states/eV/atom
density = 11.77 g cm⁻³
ΔE_f = -344 meV/atom
size of the total moment = 0.00 μB/f.u.

---

Record 12
An optimized crystal structure of PmGe2Ir3, computed with PBE-GGA.

a = 4.083 Å, b = 8.477 Å, c = 9.951 Å
α = 107.31°, β = 90.00°, γ = 103.93°
Fractional coordinates of all 18 atoms:
1 Pm 0.160 0.320 0.703
2 Pm 0.840 0.680 0.297
3 Pm 0.000 0.000 0.000
4 Ge 0.196 0.392 0.128
5 Ge 0.804 0.608 0.872
6 Ge 0.464 0.927 0.220
7 Ge 0.536 0.073 0.780
8 Ge 0.362 0.723 0.545
9 Ge 0.638 0.277 0.455
10 Ir 0.043 0.085 0.332
11 Ir 0.957 0.915 0.668
12 Ir 0.217 0.434 0.392
13 Ir 0.783 0.566 0.608
14 Ir 0.622 0.245 0.201
15 Ir 0.378 0.755 0.799
16 Ir 0.500 0.000 0.500
17 Ir 0.323 0.645 0.040
18 Ir 0.677 0.355 0.960

Properties
space group = C2/m (12)
density of states at the Fermi level = 0.55 states/eV/atom
density = 13.57 g cm⁻³
ΔE_f = -620 meV/atom
size of the total moment = 0.00 μB/f.u.

---

Record 13
An optimized crystal structure of Mg5ScAg4, computed with PBE-GGA.

a = 3.316 Å, b = 3.316 Å, c = 17.804 Å
α = 90.00°, β = 90.00°, γ = 90.00°
Each line ends with the local moment (μB).
Fractional coordinates of all 10 atoms:
1 Mg 0.500 0.500 0.123  0.00
2 Mg 0.500 0.500 0.312  0.00
3 Mg 0.500 0.500 0.500  0.00
4 Mg 0.500 0.500 0.688  0.00
5 Mg 0.500 0.500 0.877  0.00
6 Sc 0.000 0.000 0.000  0.13
7 Ag 0.000 0.000 0.217  0.00
8 Ag 0.000 0.000 0.406  0.00
9 Ag 0.000 0.000 0.594  0.00
10 Ag 0.000 0.000 0.783  0.00

Properties
space group = P4/mmm (123)
density of states at the Fermi level = 0.60 states/eV/atom
density = 5.07 g cm⁻³
ΔE_f = -192 meV/atom
size of the total moment = 0.20 μB/f.u.

---

Record 14
An optimized crystal structure of LaPrGe, computed with PBE-GGA.

a = 7.301 Å, b = 7.301 Å, c = 6.834 Å
α = 90.00°, β = 90.00°, γ = 148.90°
Fractional coordinates of all 6 atoms:
1 La 0.631 0.369 0.750
2 La 0.369 0.631 0.250
3 Pr 0.377 0.623 0.750
4 Pr 0.623 0.377 0.250
5 Ge 0.000 0.000 0.000
6 Ge 0.000 0.000 0.500

Properties
space group = Cmcm (63)
density of states at the Fermi level = 0.98 states/eV/atom
density = 6.22 g cm⁻³
energy above the lowest structure with this stoichiometry = 5.48 kcal/mol of atoms
ΔE_f = -384 meV/atom
size of the total moment = 0.00 μB/f.u.

---

Record 15
An optimized crystal structure of AcGd2Y, computed with PBE-GGA.

a = 5.860 Å, b = 5.860 Å, c = 5.860 Å
α = 60.00°, β = 60.00°, γ = 60.00°
Each line ends with the local moment (μB).
Fractional coordinates of all 4 atoms:
1 Y 0.000 0.000 0.000  0.22
2 Ac 0.500 0.500 0.500  0.15
3 Gd 0.250 0.250 0.250  7.33
4 Gd 0.750 0.750 0.750  7.33

Properties
space group = Fm-3m (225)
density of states at the Fermi level = 2.12 states/eV/atom
density = 7.36 g cm⁻³
energy above the lowest structure with this stoichiometry = 1.62 kcal/mol of atoms
ΔE_f = 114 meV/atom
size of the total moment = 16.29 μB/f.u.

---

Record 16
An optimized crystal structure of Sr2SeN, computed with PBE-GGA.

a = 7.360 Å, b = 7.360 Å, c = 6.587 Å
α = 56.04°, β = 56.04°, γ = 90.00°
Each line ends with the local moment (μB).
Fractional coordinates of all 8 atoms:
1 Sr 0.566 0.125 0.250  0.01
2 Sr 0.184 0.625 0.250  0.01
3 Sr 0.375 0.434 0.750  0.01
4 Sr 0.875 0.816 0.750  0.01
5 Se 0.000 0.000 0.000  0.07
6 Se 0.750 0.250 0.500  0.07
7 N 0.500 0.500 0.000  0.52
8 N 0.250 0.750 0.500  0.53

Properties
energy relative to the elements, uncorrected = -0.900 eV/atom
space group = I-42d (122)
density of states at the Fermi level = 0.00 states/eV/atom
density = 4.07 g cm⁻³
energy above the lowest structure with this stoichiometry = 0.00 kcal/mol of atoms
size of the total moment = 1.00 μB/f.u.

---

Record 17
An optimized crystal structure of LiZn3F8, computed with PBE-GGA.

a = 3.929 Å, b = 6.595 Å, c = 6.916 Å
α = 106.80°, β = 106.50°, γ = 90.00°
Each line ends with the local moment (μB).
Fractional coordinates of all 12 atoms:
1 Li 0.309 0.711 0.619  0.00
2 Zn 0.398 0.294 0.797  -0.12
3 Zn 0.701 0.311 0.402  -0.02
4 Zn 0.603 0.703 0.206  -0.02
5 F 0.438 0.608 0.876  -0.08
6 F 0.374 0.001 0.747  -0.13
7 F 0.863 0.295 0.725  -0.08
8 F 0.235 0.329 0.469  -0.01
9 F 0.755 0.633 0.509  -0.02
10 F 0.123 0.703 0.247  -0.01
11 F 0.561 0.374 0.122  -0.02
12 F 0.639 0.007 0.277  -0.02

Properties
energy relative to the elements, uncorrected = -2.195 eV/atom
space group = Cm (8)
density of states at the Fermi level = 0.66 states/eV/atom
density = 3.60 g cm⁻³
size of the total moment = 0.57 μB/f.u.

---

Record 18
An optimized crystal structure of La2TaAgPb, computed with PBE-GGA.

a = 6.081 Å, b = 5.086 Å, c = 6.081 Å
α = 90.00°, β = 90.00°, γ = 90.00°
Each line ends with the local moment (μB).
Fractional coordinates of all 5 atoms:
1 Pb 0.000 0.000 0.000  0.02
2 La 0.000 0.000 0.500  0.20
3 La 0.500 0.000 0.000  0.15
4 Ag 0.000 0.500 0.000  0.01
5 Ta 0.500 0.500 0.500  1.95

Properties
space group = P4/mmm (123)
density of states at the Fermi level = 1.42 states/eV/atom
density = 6.83 g cm⁻³
ΔE_f = 1134 meV/atom
size of the total moment = 4.23 μB/f.u.

---

Record 19
An optimized crystal structure of Ti3MoPt, computed with PBE-GGA.

a = 4.621 Å, b = 4.621 Å, c = 4.621 Å
α = 90.00°, β = 90.00°, γ = 90.00°
Fractional coordinates of all 5 atoms:
1 Mo 0.000 0.000 0.000
2 Pt 0.500 0.500 0.500
3 Ti 0.000 0.500 0.000
4 Ti 0.000 0.000 0.500
5 Ti 0.500 0.000 0.000

Properties
space group = Pm-3m (221)
density of states at the Fermi level = 1.91 states/eV/atom
density = 7.31 g cm⁻³
energy above the lowest structure with this stoichiometry = 28.93 kcal/mol of atoms
ΔE_f = 715 meV/atom
size of the total moment = 0.00 μB/f.u.

---

Record 20
An optimized crystal structure of BaSn2Bi, computed with PBE-GGA.

a = 7.398 Å, b = 7.398 Å, c = 12.033 Å
α = 72.46°, β = 72.46°, γ = 59.81°
Fractional coordinates of all 16 atoms:
1 Ba 0.787 0.787 0.643
2 Ba 0.213 0.213 0.363
3 Ba 0.368 0.368 0.898
4 Ba 0.630 0.630 0.108
5 Sn 0.096 0.096 0.124
6 Sn 0.684 0.094 0.126
7 Sn 0.094 0.684 0.126
8 Sn 0.907 0.907 0.870
9 Sn 0.315 0.905 0.871
10 Sn 0.905 0.315 0.871
11 Sn 0.760 0.313 0.622
12 Sn 0.313 0.760 0.622
13 Bi 0.303 0.303 0.628
14 Bi 0.208 0.711 0.375
15 Bi 0.711 0.208 0.375
16 Bi 0.705 0.705 0.377

Properties
space group = Cm (8)
density of states at the Fermi level = 0.49 states/eV/atom
density = 7.26 g cm⁻³
ΔE_f = -463 meV/atom
size of the total moment = 0.00 μB/f.u.

---

Record 21
An optimized crystal structure of TbDy2YEr, computed with PBE-GGA.

a = 7.183 Å, b = 8.329 Å, c = 7.068 Å
α = 126.10°, β = 90.00°, γ = 90.00°
Fractional coordinates of all 10 atoms:
1 Tb 0.250 0.718 0.437
2 Tb 0.750 0.282 0.563
3 Dy 0.500 0.309 0.000
4 Dy 0.000 0.691 0.000
5 Dy 0.500 0.691 0.000
6 Dy 0.000 0.309 0.000
7 Y 0.750 0.732 0.464
8 Y 0.250 0.268 0.536
9 Er 0.250 0.988 0.977
10 Er 0.750 0.012 0.023

Properties
space group = Cmcm (63)
density of states at the Fermi level = 1.44 states/eV/atom
density = 7.19 g cm⁻³
ΔE_f = 398 meV/atom
size of the total moment = 0.00 μB/f.u.

---

Record 22
An optimized crystal structure of NbFe2GeS, computed with PBE-GGA.

a = 3.951 Å, b = 5.037 Å, c = 3.951 Å
α = 90.00°, β = 90.00°, γ = 90.00°
Fractional coordinates of all 5 atoms:
1 S 0.000 0.000 0.000
2 Nb 0.500 0.500 0.500
3 Ge 0.000 0.500 0.000
4 Fe 0.000 0.000 0.500
5 Fe 0.500 0.000 0.000

Properties
energy relative to the elements, uncorrected = 0.524 eV/atom
space group = P4/mmm (123)
density of states at the Fermi level = 1.28 states/eV/atom
density = 6.53 g cm⁻³
size of the total moment = 0.00 μB/f.u.

---

Record 23
An optimized crystal structure of Pu2SbSe, computed with PBE-GGA.

a = 3.581 Å, b = 3.581 Å, c = 7.695 Å
α = 90.00°, β = 90.00°, γ = 90.00°
Each line ends with the local moment (μB).
Fractional coordinates of all 4 atoms:
1 Sb 0.500 0.500 0.000  -0.10
2 Se 0.500 0.500 0.500  -0.12
3 Pu 0.000 0.000 0.734  5.53
4 Pu 0.000 0.000 0.266  5.53

Properties
energy relative to the elements, uncorrected = -0.949 eV/atom
space group = P4/mmm (123)
density of states at the Fermi level = 3.38 states/eV/atom
density = 11.59 g cm⁻³
energy above the lowest structure with this stoichiometry = 2.76 kcal/mol of atoms
size of the total moment = 11.59 μB/f.u.

---

Record 24
An optimized crystal structure of TlHgCl3, computed with PBE-GGA.

a = 5.351 Å, b = 5.351 Å, c = 5.351 Å
α = 90.00°, β = 90.00°, γ = 90.00°
Fractional coordinates of all 5 atoms:
1 Tl 0.000 0.000 0.000
2 Hg 0.500 0.500 0.500
3 Cl 0.000 0.500 0.000
4 Cl 0.000 0.000 0.500
5 Cl 0.500 0.000 0.000

Properties
energy relative to the elements, uncorrected = -0.418 eV/atom
space group = Pm-3m (221)
density of states at the Fermi level = 1.14 states/eV/atom
density = 5.54 g cm⁻³
size of the total moment = 0.00 μB/f.u.